Entry 1:
# EuAlIr

A relaxed structure of EuAlIr (PBE-GGA, Alexandria).

## Properties
* DOS at the Fermi energy: 3.140 states/eV per atom
* uncorrected energy: -8.20 eV per atom

CIF file:
```
data_EuAlIr
_cell_length_a 4.2513
_cell_length_b 4.2513
_cell_length_c 4.3119
_cell_angle_alpha 90.00
_cell_angle_beta 90.00
_cell_angle_gamma 120.00
_symmetry_space_group_name_H-M 'P -6 m 2'
_symmetry_Int_Tables_number 187
_symmetry_space_group_name_Hall 'P -6 2'
loop_
_atom_site_label
_atom_site_fract_x
_atom_site_fract_y
_atom_site_fract_z
_atom_site_occupancy
Eu1 0.0000 0.0000 0.0000 1
Al1 0.6667 0.3333 0.5000 1
Ir1 0.3333 0.6667 0.5000 1
```



Entry 2:
# LiEuAlIr

A relaxed structure of LiEuAlIr (PBE-GGA, Alexandria).

## Properties
* DOS at the Fermi energy: 0.797 states/eV per atom
* uncorrected energy: -6.51 eV per atom

CIF file:
```
data_LiEuAlIr
_cell_length_a 6.655
_cell_length_b 6.655
_cell_length_c 6.655
_cell_angle_alpha 90.00
_cell_angle_beta 90.00
_cell_angle_gamma 90.00
_symmetry_space_group_name_H-M 'F -4 3 m'
_symmetry_Int_Tables_number 216
_symmetry_space_group_name_Hall 'F -4 2 3'
loop_
_atom_site_label
_atom_site_fract_x
_atom_site_fract_y
_atom_site_fract_z
_atom_site_occupancy
Li1 0.000 0.000 0.000 1
Eu1 0.250 0.250 0.250 1
Al1 0.250 0.250 0.750 1
Ir1 0.000 0.000 0.500 1
```